VASP calculation (PBE-GGA) on a relaxed structure of CrInSb2.

Lattice parameters (Å, degrees): 4.3377 4.0330 6.1207 90.00 109.23 90.00
Fractional coordinates of all 4 atoms:
Cr1 0.0000 0.0000 0.0000
In1 0.0000 0.0000 0.5000
Sb1 0.4312 0.5000 0.2168
Sb2 0.5688 0.5000 0.7832

Uncorrected energy: -4.899 eV/atom
Crystal system: monoclinic
Formation energy from raw total energies: 0.252 eV/atom